1.
A plane-wave DFT calculation with PBE was carried out for a relaxed CeZr4Sc9 crystal.

Calculated values
The calculation puts the density of states at the Fermi level at 2.045 states/eV/atom. The value obtained for the formation enthalpy at 0 K is 0.1906 eV/atom. The symmetry is P6_3/mmc.

Unit cell a=9.9909 b=8.9381 c=8.9381 alpha=120.00 beta=90.00 gamma=90.00
Site moments in Bohr magnetons follow the coordinates.
Fractional positions:
1 Zr 0.7500 0.2291 0.1145  0.04
2 Zr 0.7500 0.8855 0.1145  0.04
3 Zr 0.7500 0.8855 0.7709  0.04
4 Zr 0.0000 0.0000 0.0000  -0.01
5 Zr 0.2500 0.1145 0.8855  0.04
6 Zr 0.5000 0.0000 0.0000  -0.01
7 Zr 0.2500 0.7709 0.8855  0.04
8 Zr 0.2500 0.1145 0.2291  0.04
9 Sc 0.5331 0.2032 0.7968  0.06
10 Sc 0.9669 0.2032 0.4065  0.06
11 Sc 0.4669 0.4065 0.2032  0.06
12 Sc 0.2500 0.4568 0.9137  0.01
13 Sc 0.7500 0.5432 0.0863  0.01
14 Sc 0.5331 0.2032 0.4065  0.06
15 Sc 0.9669 0.2032 0.7968  0.06
16 Sc 0.4669 0.7968 0.2032  0.06
17 Sc 0.9669 0.5935 0.7968  0.06
18 Sc 0.7500 0.9137 0.4568  0.01
19 Sc 0.7500 0.5432 0.4568  0.01
20 Sc 0.0331 0.7968 0.5935  0.06
21 Sc 0.0331 0.7968 0.2032  0.06
22 Sc 0.2500 0.4568 0.5432  0.01
23 Sc 0.4669 0.7968 0.5935  0.06
24 Sc 0.5331 0.5935 0.7968  0.06
25 Sc 0.0331 0.4065 0.2032  0.06
26 Sc 0.2500 0.0863 0.5432  0.01
27 Ce 0.7500 0.3333 0.6667  0.51
28 Ce 0.2500 0.6667 0.3333  0.51

***

2.
A plane-wave DFT calculation with PBE was carried out for a relaxed LaHo12Tm5 crystal.

Calculated values
The calculation puts the density of states at the Fermi level at 1.323 states/eV/atom. The value obtained for the formation enthalpy at 0 K is 0.0257 eV/atom. The symmetry is Cmmm.

Unit cell a=5.0031 b=7.8590 c=14.9592 alpha=90.00 beta=90.00 gamma=71.44
Fractional positions:
1 Tm 0.3308 0.3384 0.0000
2 Tm 0.6692 0.6616 0.0000
3 Tm 0.5000 0.0000 0.5000
4 Tm 0.1665 0.6670 0.5000
5 Tm 0.8335 0.3330 0.5000
6 Ho 0.1673 0.6661 0.8309
7 Ho 0.0004 0.0000 0.6650
8 Ho 0.4996 0.0000 0.1704
9 Ho 0.9996 0.0000 0.3350
10 Ho 0.8327 0.3339 0.1691
11 Ho 0.5004 0.0000 0.8296
12 Ho 0.6670 0.6669 0.6641
13 Ho 0.8334 0.3339 0.8309
14 Ho 0.1666 0.6661 0.1691
15 Ho 0.6661 0.6669 0.3359
16 Ho 0.3330 0.3331 0.3359
17 Ho 0.3339 0.3331 0.6641
18 La 0.0000 0.0000 0.0000

***

3.
A plane-wave DFT calculation with PBE was carried out for a relaxed Pr9SmTm2 crystal.

Calculated values
The calculation puts the density of states at the Fermi level at 1.678 states/eV/atom. The value obtained for the formation enthalpy at 0 K is 0.0147 eV/atom. The symmetry is P4/mmm.

Unit cell a=5.1846 b=5.1846 c=15.5695 alpha=90.00 beta=90.00 gamma=90.00
Fractional positions:
1 Pr 0.5000 0.5000 0.0000
2 Pr 0.5000 0.0000 0.8313
3 Pr 0.5000 0.0000 0.1687
4 Pr 0.5000 0.5000 0.3349
5 Pr 0.5000 0.0000 0.5000
6 Pr 0.5000 0.5000 0.6651
7 Pr 0.0000 0.5000 0.8313
8 Pr 0.0000 0.5000 0.5000
9 Pr 0.0000 0.5000 0.1687
10 Tm 0.0000 0.0000 0.6655
11 Tm 0.0000 0.0000 0.3345
12 Sm 0.0000 0.0000 0.0000

***

- Number 3 is which compound?
  Pr9SmTm2

***

- What is the formation enthalpy at 0 K in the second record?
  0.0257 eV/atom

***

- Which of these has the highest formation enthalpy at 0 K?
  CeZr4Sc9

***

- density of states at the Fermi level of number 2 (LaHo12Tm5)?
  1.323 states/eV/atom